Entry 1:
A plane-wave DFT calculation with GGA-PBEsol was carried out for La3Nd3Al22 after structural relaxation.

abc: 4.390 8.457 16.333
angles: 104.35 90.00 105.04
Fractional coordinates of all 28 atoms:
La  0.343  0.685  0.658
La  0.842  0.684  0.158
La  0.158  0.315  0.842
Nd  0.658  0.316  0.342
Nd  0.000  0.000  0.001
Nd  0.500  0.000  0.499
Al  0.649  0.297  0.984
Al  0.148  0.296  0.482
Al  0.852  0.705  0.516
Al  0.351  0.702  0.016
Al  0.516  0.033  0.852
Al  0.017  0.033  0.351
Al  0.984  0.968  0.648
Al  0.483  0.966  0.148
Al  0.144  0.288  0.643
Al  0.643  0.287  0.145
Al  0.356  0.712  0.856
Al  0.856  0.712  0.356
Al  0.750  0.500  0.750
Al  0.249  0.499  0.250
Al  0.795  0.591  0.930
Al  0.295  0.590  0.431
Al  0.705  0.410  0.568
Al  0.204  0.408  0.070
Al  0.569  0.139  0.705
Al  0.069  0.138  0.205
Al  0.931  0.862  0.795
Al  0.431  0.861  0.295

space group: Cm (8)
N(E_F): 7.92 states/eV per cell
ΔH_f (0 K): -380 meV/atom


Entry 2:
A plane-wave DFT calculation with GGA-PBEsol was carried out for LaAlNi4 after structural relaxation.

abc: 4.009 4.917 4.917
angles: 117.74 90.00 90.00
Fractional coordinates of all 6 atoms:
Ni  0.000  0.171  0.829
Ni  0.000  0.829  0.171
Ni  0.500  0.000  0.500
Ni  0.500  0.500  0.000
Al  0.500  0.000  0.000
La  0.000  0.500  0.500

space group: Cmmm (65)
N(E_F): 2.46 states/eV per cell
energy relative to the lowest polymorph listed for this composition: 0 meV per atom
ΔH_f (0 K): -460 meV/atom


Entry 3:
A plane-wave DFT calculation with GGA-PBEsol was carried out for LaAl3Ni2 after structural relaxation.

abc: 5.081 6.361 6.361
angles: 105.03 90.00 90.00
Fractional coordinates of all 12 atoms:
La  0.750  0.649  0.649
La  0.250  0.351  0.351
Al  0.750  0.059  0.059
Al  0.250  0.941  0.941
Al  0.750  0.475  0.080
Al  0.250  0.525  0.920
Al  0.750  0.080  0.475
Al  0.250  0.920  0.525
Ni  0.000  0.201  0.799
Ni  0.000  0.799  0.201
Ni  0.500  0.799  0.201
Ni  0.500  0.201  0.799

space group: Cmcm (63)
N(E_F): 5.41 states/eV per cell
ΔH_f (0 K): -628 meV/atom


Copy entry 3 word for word.
A plane-wave DFT calculation with GGA-PBEsol was carried out for LaAl3Ni2 after structural relaxation.

abc: 5.081 6.361 6.361
angles: 105.03 90.00 90.00
Fractional coordinates of all 12 atoms:
La  0.750  0.649  0.649
La  0.250  0.351  0.351
Al  0.750  0.059  0.059
Al  0.250  0.941  0.941
Al  0.750  0.475  0.080
Al  0.250  0.525  0.920
Al  0.750  0.080  0.475
Al  0.250  0.920  0.525
Ni  0.000  0.201  0.799
Ni  0.000  0.799  0.201
Ni  0.500  0.799  0.201
Ni  0.500  0.201  0.799

space group: Cmcm (63)
N(E_F): 5.41 states/eV per cell
ΔH_f (0 K): -628 meV/atom